The following is a PBE calculation of a relaxed structure of Ac8Cd2Ir, from the Alexandria database.

* space-group type: No. 12

a b c (Å): 5.1587 8.0604 10.5817
angles (deg): 92.24 104.11 90.00
With the nearest neighbours (Å) after each atom.
Element x y z (fractional)
Ac: 0.2187 0.3176 0.4375  3 Cd 3.39-3.57
Ac: 0.3609 0.9937 0.7217  1 Ir 2.85
Ac: 0.5972 0.5004 0.1945  2 Cd 3.60, 8 Ac 3.92-4.00
Ac: 0.6391 0.0063 0.2783  1 Ir 2.85
Ac: 0.9978 0.2243 0.9955  2 Ir 3.15
Cd: 0.1779 0.7438 0.3559  8 Ac 3.39-3.63
Ac: 0.7813 0.6824 0.5625  3 Cd 3.39-3.57
Ir: 0.5000 0.0000 0.0000  6 Ac 2.85-3.15
Ac: 0.4028 0.4996 0.8055  2 Cd 3.60, 8 Ac 3.92-4.00
Ac: 0.0022 0.7757 0.0045  2 Ir 3.15
Cd: 0.8221 0.2562 0.6441  8 Ac 3.39-3.63

=====

The following is a PBE calculation of a relaxed structure of Ac4CdIr, from the Alexandria database.

* space-group type: No. 216

a b c (Å): 10.5544 10.5544 10.5544
angles (deg): 60.00 60.00 60.00
With the nearest neighbours (Å) after each atom.
Element x y z (fractional)
Ir: 0.1748 0.6084 0.6084  6 Ac 3.07-3.08
Ac: 0.8110 0.8110 0.1890  2 Cd 3.62, 2 Ir 3.79, 10 Ac 3.79-3.99
Cd: 0.1710 0.1710 0.1710  3 Cd 3.33, 3 Ac 3.62
Ir: 0.6084 0.6084 0.6084  6 Ac 3.07-3.08
Ac: 0.7902 0.4033 0.4033  3 Ir 3.07
Ir: 0.6084 0.1748 0.6084  6 Ac 3.07-3.08
Cd: 0.1710 0.4870 0.1710  3 Cd 3.33, 3 Ac 3.62
Ac: 0.8110 0.1890 0.1890  2 Cd 3.62, 2 Ir 3.79, 10 Ac 3.79-3.99
Ir: 0.6084 0.6084 0.1748  6 Ac 3.07-3.08
Ac: 0.9402 0.9402 0.5598  2 Ir 3.08
Ac: 0.4033 0.4033 0.7902  3 Ir 3.07
Ac: 0.1890 0.8110 0.8110  2 Cd 3.62, 2 Ir 3.79, 10 Ac 3.79-3.99
Ac: 0.4033 0.4033 0.4033  3 Ir 3.07
Ac: 0.5598 0.5598 0.9402  2 Ir 3.08
Cd: 0.4870 0.1710 0.1710  3 Cd 3.33, 3 Ac 3.62
Ac: 0.4033 0.7902 0.4033  3 Ir 3.07
Ac: 0.1890 0.1890 0.8110  2 Cd 3.62, 2 Ir 3.79, 10 Ac 3.79-3.99
Ac: 0.8110 0.1890 0.8110  2 Cd 3.62, 2 Ir 3.79, 10 Ac 3.79-3.99
Cd: 0.1710 0.1710 0.4870  3 Cd 3.33, 3 Ac 3.62
Ac: 0.5598 0.9402 0.9402  2 Ir 3.08
Ac: 0.1890 0.8110 0.1890  2 Cd 3.62, 2 Ir 3.79, 10 Ac 3.79-3.99
Ac: 0.9402 0.5598 0.5598  2 Ir 3.08
Ac: 0.5598 0.9402 0.5598  2 Ir 3.08
Ac: 0.9402 0.5598 0.9402  2 Ir 3.08

=====

The following is a PBE calculation of a relaxed structure of Ac8CdIr2, from the Alexandria database.

* space-group type: No. 8

a b c (Å): 6.1881 8.6793 8.6794
angles (deg): 115.35 97.36 97.36
With the nearest neighbours (Å) after each atom.
Element x y z (fractional)
Ac: 0.0001 0.2481 0.7584  2 Ir 3.17
Cd: 0.9988 0.0032 0.0032  4 Ac 3.54-3.59
Ac: 0.5754 0.3424 0.0832  2 Ir 3.03-3.07
Ac: 0.4249 0.6637 0.9229  2 Ir 3.03-3.07
Ac: 0.4249 0.9229 0.6637  2 Ir 3.03-3.07
Ac: 0.5754 0.0832 0.3424  2 Ir 3.03-3.07
Ac: 0.0001 0.7584 0.2481  2 Ir 3.17
Ir: 0.5000 0.2939 0.7120  6 Ac 3.03-3.17
Ac: 0.7998 0.6127 0.6127  1 Cd 3.54, 4 Ac 3.56-3.78, 2 Ir 3.60
Ir: 0.5000 0.7120 0.2939  6 Ac 3.03-3.17
Ac: 0.2003 0.3934 0.3934  1 Cd 3.54, 4 Ac 3.56-3.78, 2 Ir 3.60

=====

The following is a PBE calculation of a relaxed structure of Ac8CdIr2, from the Alexandria database.

* space-group type: No. 12

a b c (Å): 7.0794 8.1513 8.1513
angles (deg): 67.25 91.88 91.88
With the nearest neighbours (Å) after each atom.
Element x y z (fractional)
Ac: 0.6891 0.6180 0.6180  1 Ir 3.02
Cd: 0.0000 0.0000 0.0000  2 Ir 2.98
Ac: 0.8229 0.1360 0.5754  2 Ir 3.00-3.04
Ac: 0.8229 0.5754 0.1360  2 Ir 3.00-3.04
Ir: 0.0068 0.2198 0.2198  1 Cd 2.98, 6 Ac 3.00-3.04
Ac: 0.3925 0.8690 0.8690  1 Ir 3.03, 1 Cd 3.36
Ir: 0.9932 0.7802 0.7802  1 Cd 2.98, 6 Ac 3.00-3.04
Ac: 0.3109 0.3820 0.3820  1 Ir 3.02
Ac: 0.6075 0.1310 0.1310  1 Ir 3.03, 1 Cd 3.36
Ac: 0.1771 0.8640 0.4246  2 Ir 3.00-3.04
Ac: 0.1771 0.4246 0.8640  2 Ir 3.00-3.04

=====

Table of DOS at the Fermi energy (states/eV/f.u.), in record order: 12.91; 4.97; 13.44; 13.35
Table of E_tot (eV per cell), in record order: -45.7; -114.4; -54.2; -54.5